# 1
This record from Alexandria via LeMat-Bulk describes crystalline NpBr2O4 at its relaxed geometry. The functional is PBE.

Cell: 3.499 6.655 6.828 Å, 91.68 90.35 90.45°
Sites, in units of the cell vectors:
Np 0.000 0.000 0.000
Br 0.499 0.365 0.606
Br 0.501 0.635 0.394
O 0.005 0.243 0.122
O 0.498 0.085 0.835
O 0.502 0.915 0.165
O 0.995 0.757 0.878

formation energy (no corrections)	-1.418	eV per atom
space-group type	P-1
M_tot	0.2	μB/cell
raw total energy	-6.578	eV/atom


# 2
This record from Alexandria via LeMat-Bulk describes crystalline Rb2In at its relaxed geometry. The functional is PBE.

Cell: 4.510 4.510 16.762 Å, 90.00 90.00 90.00°
Sites, in units of the cell vectors:
Rb 0.000 0.000 0.134
Rb 0.000 0.000 0.866
Rb 0.500 0.500 0.366
Rb 0.500 0.500 0.634
In 0.000 0.000 0.500
In 0.500 0.500 0.000

space-group type	I4/mmm
M_tot	0.9	μB/cell
raw total energy	-1.470	eV/atom
energy of formation from the pure elements	0.088	eV per atom


# 3
This record from Alexandria via LeMat-Bulk describes crystalline PrNd6Y12 at its relaxed geometry. The functional is PBE.

Cell: 8.833 8.833 8.833 Å, 99.11 99.11 99.11°
Sites, in units of the cell vectors:
Pr 0.000 0.000 0.000
Nd 0.099 0.099 0.656
Nd 0.099 0.656 0.099
Nd 0.344 0.901 0.901
Nd 0.656 0.099 0.099
Nd 0.901 0.344 0.901
Nd 0.901 0.901 0.344
Y 0.081 0.354 0.354
Y 0.242 0.500 0.758
Y 0.242 0.758 0.500
Y 0.354 0.081 0.354
Y 0.354 0.354 0.081
Y 0.500 0.242 0.758
Y 0.500 0.758 0.242
Y 0.646 0.646 0.919
Y 0.646 0.919 0.646
Y 0.758 0.242 0.500
Y 0.758 0.500 0.242
Y 0.919 0.646 0.646

space-group type	R-3m
M_tot	0.0	μB/cell
excess energy over the best structure of this formula in the dataset	1.85	eV/f.u.
raw total energy	-5.636	eV/atom
energy of formation from the pure elements	0.203	eV per atom


# 4
This record from Alexandria via LeMat-Bulk describes crystalline HfZr7In4 at its relaxed geometry. The functional is PBE.

Cell: 6.279 6.279 10.925 Å, 116.80 116.80 50.74°
Sites, in units of the cell vectors:
Hf 0.000 0.000 0.000
Zr 0.039 0.039 0.374
Zr 0.211 0.211 0.908
Zr 0.352 0.352 0.444
Zr 0.500 0.500 0.000
Zr 0.648 0.648 0.556
Zr 0.789 0.789 0.092
Zr 0.961 0.961 0.626
In 0.282 0.282 0.679
In 0.417 0.417 0.222
In 0.583 0.583 0.778
In 0.718 0.718 0.321

space-group type	C2/m
M_tot	0.0	μB/cell
raw total energy	-6.582	eV/atom
energy of formation from the pure elements	0.147	eV per atom


# 5
This record from Alexandria via LeMat-Bulk describes crystalline SrPrVN3 at its relaxed geometry. The functional is PBE.

Cell: 7.029 7.029 7.418 Å, 105.35 105.35 32.05°
Sites, in units of the cell vectors:
Sr 0.146 0.146 0.072
Sr 0.854 0.854 0.928
Pr 0.155 0.155 0.581
Pr 0.845 0.845 0.419
V 0.500 0.500 0.290
V 0.500 0.500 0.710
N 0.003 0.003 0.302
N 0.350 0.350 0.671
N 0.355 0.355 0.182
N 0.645 0.645 0.818
N 0.650 0.650 0.329
N 0.997 0.997 0.698

formation energy (no corrections)	-0.939	eV per atom
space-group type	C2/m
M_tot	0.0	μB/cell
raw total energy	-7.699	eV/atom


# 6
This record from Alexandria via LeMat-Bulk describes crystalline CsKNaAs at its relaxed geometry. The functional is PBE.

Cell: 8.102 8.102 8.102 Å, 90.00 90.00 90.00°
Sites, in units of the cell vectors:
Cs 0.000 0.000 0.000
Cs 0.000 0.500 0.500
Cs 0.500 0.000 0.500
Cs 0.500 0.500 0.000
K 0.250 0.250 0.250
K 0.250 0.750 0.750
K 0.750 0.250 0.750
K 0.750 0.750 0.250
Na 0.250 0.250 0.750
Na 0.250 0.750 0.250
Na 0.750 0.250 0.250
Na 0.750 0.750 0.750
As 0.000 0.000 0.500
As 0.000 0.500 0.000
As 0.500 0.000 0.000
As 0.500 0.500 0.500

space-group type	F-43m
M_tot	0.0	μB/cell
raw total energy	-2.249	eV/atom
energy of formation from the pure elements	-0.269	eV per atom